[1]
# ReNiBPIr, optimized geometry, DFT PBE-GGA
# D(E_F), states/eV/f.u.: 2.95
# E above lowest polymorph, meV per atom: 46
# E_form, eV/atom: -0.134
data_ReNiBPIr
_cell_length_a 8.193
_cell_length_b 2.911
_cell_length_c 5.492
_cell_angle_alpha 90.00
_cell_angle_beta 99.45
_cell_angle_gamma 90.00
_space_group_name_H-M_alt 'C 1 m 1'
_space_group_IT_number 8
loop_
_space_group_symop_operation_xyz
'x,y,z'
'x,-y,z'
'x+1/2,y+1/2,z'
'x+1/2,-y+1/2,z'
loop_
_atom_site_label
_atom_site_type_symbol
_atom_site_fract_x
_atom_site_fract_y
_atom_site_fract_z
_atom_site_occupancy
Re1 Re 0.000 0.000 0.000 1
Ni1 Ni 0.186 0.500 0.733 1
B1 B 0.370 0.000 0.722 1
P1 P 0.221 0.500 0.152 1
Ir1 Ir 0.430 0.500 0.476 1



[2]
# ReNiBPIr, optimized geometry, DFT PBE-GGA
# D(E_F), states/eV/f.u.: 3.12
# E above lowest polymorph, meV per atom: 27
# E_form, eV/atom: -0.153
data_ReNiBPIr
_cell_length_a 9.092
_cell_length_b 2.909
_cell_length_c 5.092
_cell_angle_alpha 90.00
_cell_angle_beta 114.84
_cell_angle_gamma 90.00
_space_group_name_H-M_alt 'C 1 m 1'
_space_group_IT_number 8
loop_
_space_group_symop_operation_xyz
'x,y,z'
'x,-y,z'
'x+1/2,y+1/2,z'
'x+1/2,-y+1/2,z'
loop_
_atom_site_label
_atom_site_type_symbol
_atom_site_fract_x
_atom_site_fract_y
_atom_site_fract_z
_atom_site_occupancy
Re1 Re 0.000 0.000 0.000 1
Ni1 Ni 0.408 0.500 0.431 1
B1 B 0.038 0.500 0.347 1
P1 P 0.209 0.500 0.989 1
Ir1 Ir 0.224 0.000 0.613 1